# VSn2GeAs (PBE, optimized geometry)
# - Energy of formation: 1.19 eV/atom
# - Volume: 135.3 Å³ per cell
data_VSn2GeAs
_space_group_name_H-M_alt 'P 1'
_space_group_IT_number 1
_cell_length_a 5.2384
_cell_length_b 4.9315
_cell_length_c 5.2384
_cell_angle_alpha 90.00
_cell_angle_beta 90.00
_cell_angle_gamma 90.00
loop_
_space_group_symop_operation_xyz
'x,y,z'
loop_
_atom_site_label
_atom_site_type_symbol
_atom_site_fract_x
_atom_site_fract_y
_atom_site_fract_z
V1 V 0.5000 0.5000 0.5000
Sn1 Sn 0.5000 0.0000 0.0000
As1 As 0.0000 0.5000 0.0000
Ge1 Ge 0.0000 0.0000 0.0000
Sn2 Sn 0.0000 0.0000 0.5000